No. 1
Density functional theory data (PBE-GGA) for crystalline RuW3Cl at its relaxed geometry.

The structure belongs to space group Pm-3m (No. 221); the cell edges are 4.360, 4.360 and 4.360 Å and the angles 90.00°, 90.00° and 90.00°. The inequivalent atoms are Ru at (0.000, 0.000, 0.000), W at (0.000, 0.500, 0.500) and Cl at (0.500, 0.500, 0.500).

The value obtained for the total moment is 0.00 μB per cell. The calculation puts the density of states at the Fermi level at 5.233 states/eV/cell. The value obtained for the uncorrected formation energy is 1.594 eV/atom. Its calculated volume is 16.58 Å³/atom.

---

No. 2
Density functional theory data (PBE-GGA) for crystalline HfSc2Pb at its relaxed geometry.

The structure belongs to space group I-42d (No. 122); the cell edges are 8.124, 8.124 and 6.060 Å and the angles 90.00°, 90.00° and 90.00°. The inequivalent atoms are Hf at (0.000, 0.000, 0.000), Sc at (0.241, 0.750, 0.625) and Pb at (0.000, 0.000, 0.500).

The value obtained for the total moment is 0.00 μB per cell. For the formation energy from the elements, the calculation gives 311 meV/atom. The calculation puts the density of states at the Fermi level at 28.130 states/eV/cell. Its calculated volume is 25.00 Å³/atom.

---

No. 3
Density functional theory data (PBE-GGA) for crystalline LiHfCo4 at its relaxed geometry.

The structure belongs to space group F-43m (No. 216); the cell edges are 6.764, 6.764 and 6.764 Å and the angles 90.00°, 90.00° and 90.00°. The inequivalent atoms are Li at (0.000, 0.000, 0.000), Hf at (0.250, 0.250, 0.750) and Co at (0.125, 0.125, 0.375).

The value obtained for the total moment is 18.43 μB per cell. For the formation energy from the elements, the calculation gives -168 meV/atom. The calculation puts the density of states at the Fermi level at 33.908 states/eV/cell. Its calculated volume is 12.90 Å³/atom.

---

No. 4
Density functional theory data (PBE-GGA) for crystalline Ho2Mg2AlGa4 at its relaxed geometry.

The structure belongs to space group I4/mmm (No. 139); the cell edges are 6.843, 6.843 and 8.983 Å and the angles 90.00°, 90.00° and 90.00°. The inequivalent atoms are Ho at (0.000, 0.000, 0.191), Mg at (0.000, 0.500, 0.250), Al at (0.000, 0.000, 0.500) and Ga at (0.246, 0.246, 0.000).

The value obtained for the total moment is 0.00 μB per cell. For the formation energy from the elements, the calculation gives -88 meV/atom. The calculation puts the density of states at the Fermi level at 9.513 states/eV/cell. Its calculated volume is 23.37 Å³/atom.